4
Lattice="1.875 1.083 13.502 -1.875 1.083 13.502 0.000 -2.165 13.502" Properties=species:S:1:pos:R:3 comment="CaAc2Tb | Alexandria via LeMat-Bulk | PBE-GGA | relaxed" relative_energy_mev_per_atom=220.1 dft_energy_ev_per_atom=-3.45 formation_enthalpy_0k_ev_per_atom=0.262 n_ef_per_ev_atom=1.746 pbc="T T T"
Ca 0.000 0.000 0.000
Ac 0.000 0.000 16.834
Ac 0.000 0.000 23.673
Tb 0.000 0.000 20.254



4
Lattice="1.907 1.101 12.521 -1.907 1.101 12.521 0.000 -2.202 12.521" Properties=species:S:1:pos:R:3 comment="Ca2AcTb | Alexandria via LeMat-Bulk | PBE-GGA | relaxed" relative_energy_mev_per_atom=49.5 dft_energy_ev_per_atom=-3.09 formation_enthalpy_0k_ev_per_atom=0.095 n_ef_per_ev_atom=1.479 pbc="T T T"
Ca 0.000 0.000 0.000
Ca 0.000 0.000 5.970
Ac 0.000 0.000 21.772
Tb 0.000 0.000 15.515



8
Lattice="-2.769 2.769 11.104 2.769 -2.769 11.104 2.769 2.769 -11.104" Properties=species:S:1:pos:R:3 comment="Ca2Ac5Tb | Alexandria via LeMat-Bulk | PBE-GGA | relaxed" dft_energy_ev_per_atom=-3.61 formation_enthalpy_0k_ev_per_atom=0.038 n_ef_per_ev_atom=1.758 pbc="T T T"
Ca 0.000 0.000 5.538
Ca 0.000 0.000 16.671
Ac 0.000 0.000 0.000
Ac 2.769 0.000 2.683
Ac 2.769 0.000 8.421
Ac 0.000 2.769 2.683
Ac 0.000 2.769 8.421
Tb 0.000 0.000 11.104



12
Lattice="-3.806 9.376 3.422 3.806 -9.376 3.422 3.806 9.376 -3.422" Properties=species:S:1:pos:R:3 comment="CaAc3Tb2 | Alexandria via LeMat-Bulk | PBE-GGA | relaxed" dft_energy_ev_per_atom=-3.75 formation_enthalpy_0k_ev_per_atom=0.177 n_ef_per_ev_atom=1.754 pbc="T T T"
Ca 0.000 4.688 0.170
Ca 3.806 4.688 3.252
Ac 3.806 8.139 -1.757
Ac 3.806 -1.237 1.757
Ac 3.806 4.688 -0.160
Ac 0.000 4.688 3.582
Ac 0.000 10.613 1.665
Ac 0.000 1.237 5.179
Tb 1.903 11.334 -1.711
Tb 1.903 1.958 1.711
Tb -1.903 7.418 1.711
Tb 1.903 7.418 1.711



8
Lattice="5.551 0.000 0.000 0.000 5.551 0.000 0.000 0.000 11.081" Properties=species:S:1:pos:R:3 comment="CaAc6Tb | Alexandria via LeMat-Bulk | PBE-GGA | relaxed" dft_energy_ev_per_atom=-3.88 formation_enthalpy_0k_ev_per_atom=0.026 n_ef_per_ev_atom=1.518 pbc="T T T"
Ca 0.000 0.000 0.000
Ac 0.000 2.775 2.843
Ac 0.000 2.775 8.238
Ac 2.775 0.000 2.843
Ac 2.775 0.000 8.238
Ac 2.775 2.775 0.000
Ac 2.775 2.775 5.541
Tb 0.000 0.000 5.541



20
Lattice="7.221 -7.356 0.000 7.221 7.356 0.000 0.000 0.000 8.080" Properties=species:S:1:pos:R:3 comment="CaAc3Tb | Alexandria via LeMat-Bulk | PBE-GGA | relaxed" relative_energy_mev_per_atom=122.9 dft_energy_ev_per_atom=-3.62 formation_enthalpy_0k_ev_per_atom=0.168 n_ef_per_ev_atom=1.233 pbc="T T T"
Ca 3.611 0.042 2.020
Ca 3.611 -0.042 6.060
Ca 10.832 0.042 2.020
Ca 10.832 -0.042 6.060
Ac 7.221 5.951 2.991
Ac 5.134 3.690 5.003
Ac 5.134 3.666 0.964
Ac 9.308 3.690 5.003
Ac 9.308 3.666 0.964
Ac 7.221 1.405 7.031
Ac 7.221 -1.405 1.049
Ac 5.134 -3.666 7.116
Ac 5.134 -3.690 3.076
Ac 9.308 -3.666 7.116
Ac 9.308 -3.690 3.076
Ac 7.221 -5.951 5.089
Tb 7.221 5.907 7.146
Tb 7.221 1.448 3.106
Tb 7.221 -1.448 4.974
Tb 7.221 -5.907 0.934



4
Lattice="0.000 4.324 4.324 4.324 0.000 4.324 4.324 4.324 0.000" Properties=species:S:1:pos:R:3 comment="CaAc2Tb | Alexandria via LeMat-Bulk | PBE-GGA | relaxed" relative_energy_mev_per_atom=31.1 dft_energy_ev_per_atom=-3.64 formation_enthalpy_0k_ev_per_atom=0.073 n_ef_per_ev_atom=1.312 pbc="T T T"
Ca 0.000 0.000 0.000
Ac 2.162 2.162 2.162
Ac 6.486 6.486 6.486
Tb 4.324 4.324 4.324



11
Lattice="1.943 1.122 34.808 -1.943 1.122 34.808 0.000 -2.244 34.808" Properties=species:S:1:pos:R:3 comment="Ca3Ac6Tb2 | Alexandria via LeMat-Bulk | PBE-GGA | relaxed" dft_energy_ev_per_atom=-3.59 formation_enthalpy_0k_ev_per_atom=0.040 n_ef_per_ev_atom=1.447 pbc="T T T"
Ca 0.000 0.000 0.000
Ca 0.000 0.000 28.353
Ca 0.000 0.000 76.072
Ac 0.000 0.000 9.750
Ac 0.000 0.000 19.062
Ac 0.000 0.000 38.045
Ac 0.000 0.000 66.379
Ac 0.000 0.000 85.362
Ac 0.000 0.000 94.674
Tb 0.000 0.000 47.513
Tb 0.000 0.000 56.911



10
Lattice="5.108 -8.209 0.000 5.108 8.209 0.000 0.000 0.000 6.245" Properties=species:S:1:pos:R:3 comment="CaAc7Tb2 | Alexandria via LeMat-Bulk | PBE-GGA | relaxed" dft_energy_ev_per_atom=-3.46 formation_enthalpy_0k_ev_per_atom=0.543 n_ef_per_ev_atom=1.307 pbc="T T T"
Ca 0.000 0.000 0.000
Ac 1.910 2.088 3.122
Ac 5.108 3.957 0.000
Ac 1.910 -2.088 3.122
Ac 5.108 0.000 3.122
Ac 8.306 2.088 3.122
Ac 5.108 -3.957 0.000
Ac 8.306 -2.088 3.122
Tb 5.108 3.308 3.122
Tb 5.108 -3.308 3.122



4
Lattice="4.259 0.000 0.000 0.000 4.259 0.000 0.000 0.000 8.635" Properties=species:S:1:pos:R:3 comment="Ca2AcTb | Alexandria via LeMat-Bulk | PBE-GGA | relaxed" relative_energy_mev_per_atom=69.2 dft_energy_ev_per_atom=-3.07 formation_enthalpy_0k_ev_per_atom=0.115 n_ef_per_ev_atom=1.350 pbc="T T T"
Ca 0.000 0.000 1.988
Ca 0.000 0.000 6.646
Ac 2.129 2.129 4.317
Tb 2.129 2.129 0.000